# 1
Below is a geometry-optimized Sm4GaCBr2 structure, with properties calculated at the PBE level.

Cell and atoms, written as POSCAR:
```
Sm4GaCBr2
1.0
-2.215 1.478 -2.790
0.119 -6.339 -3.452
-6.092 -0.154 4.754
Sm Br Ga C
4 2 1 1
Direct
0.500 0.728 0.794
0.500 0.272 0.206
0.000 0.297 0.816
0.000 0.703 0.184
0.500 0.000 0.500
0.000 0.500 0.500
0.000 0.000 0.000
0.500 0.500 0.000
```

Computed properties:
**Uncorrected formation energy**: -851 meV/atom

# 2
Below is a geometry-optimized CuPO4 structure, with properties calculated at the PBE level.

Cell and atoms, written as POSCAR:
```
CuPO4
1.0
-1.664 4.025 3.334
-5.376 -2.656 0.524
3.307 -5.141 7.859
O Cu P
16 4 4
Direct
0.307 0.054 0.177
0.807 0.554 0.323
0.078 0.250 0.459
0.693 0.554 0.823
0.578 0.750 0.041
0.728 0.250 0.144
0.193 0.054 0.677
0.272 0.750 0.856
0.193 0.446 0.677
0.307 0.446 0.177
0.228 0.750 0.356
0.693 0.946 0.823
0.422 0.250 0.959
0.807 0.946 0.323
0.922 0.750 0.541
0.772 0.250 0.644
0.635 0.250 0.816
0.365 0.750 0.184
0.865 0.250 0.316
0.135 0.750 0.684
0.547 0.750 0.886
0.453 0.250 0.114
0.953 0.750 0.386
0.047 0.250 0.614
```

Computed properties:
**Uncorrected formation energy**: -1411 meV/atom

# 3
Below is a geometry-optimized CeErMgTi structure, with properties calculated at the PBE level.

Cell and atoms, written as POSCAR:
```
CeErMgTi
1.0
5.228 0.000 0.000
2.614 4.528 0.000
2.614 1.509 4.269
Er Ce Mg Ti
1 1 1 1
Direct
0.000 0.000 0.000
0.500 0.500 0.500
0.750 0.750 0.750
0.250 0.250 0.250
```

Computed properties:
**Formation energy from the elements**: 0.16 eV per atom

# 4
Below is a geometry-optimized Ho5ScRu6 structure, with properties calculated at the PBE level.

Cell and atoms, written as POSCAR:
```
Ho5ScRu6
1.0
-3.210 2.467 -2.504
-3.279 -7.380 1.439
2.279 4.763 6.277
Ho Ru Sc
5 6 1
Direct
0.500 0.500 0.500
0.500 0.164 0.836
0.000 0.333 0.667
0.500 0.836 0.164
0.000 0.667 0.333
0.744 0.245 0.245
0.256 0.755 0.755
0.247 0.083 0.411
0.753 0.917 0.589
0.247 0.411 0.083
0.753 0.589 0.917
0.000 0.000 0.000
```

Computed properties:
**Formation energy from the elements**: -0.37 eV per atom